The following is a DFT calculation (GGA-PBEsol) of an optimized crystal structure of CoNiP. Values from VASP.

The structure in Quantum ESPRESSO input format:
```
&SYSTEM
  ibrav = 0, nat = 3, ntyp = 3
/
ATOMIC_SPECIES
Ni 58.69 Ni.upf
Co 58.93 Co.upf
P 30.97 P.upf
CELL_PARAMETERS angstrom
3.6284 0.0000 0.0000
1.8142 3.1423 0.0000
1.8142 1.0474 2.9626
ATOMIC_POSITIONS crystal
Ni 0.5000 0.5000 0.5000
Co 0.0000 0.0000 0.0000
P 0.2500 0.2500 0.2500
```

Values from the calculation:
**ΔH_f (0 K)**: -616 meV/atom
**Space group**: No. 216
**Total magnetic moment**: 0.00 μB/cell

---

The following is a DFT calculation (GGA-PBEsol) of an optimized crystal structure of CoNiP. Values from VASP.

The structure in Quantum ESPRESSO input format:
```
&SYSTEM
  ibrav = 0, nat = 3, ntyp = 3
/
ATOMIC_SPECIES
Ni 58.69 Ni.upf
Co 58.93 Co.upf
P 30.97 P.upf
CELL_PARAMETERS angstrom
2.7175 0.0000 0.0000
0.0000 2.7175 0.0000
-1.3588 -1.3588 4.2333
ATOMIC_POSITIONS crystal
Ni 0.3148 0.3148 0.6296
Co 0.0238 0.0238 0.0476
P 0.6614 0.6614 0.3228
```

Values from the calculation:
**ΔH_f (0 K)**: -286 meV/atom
**Space group**: No. 107
**Total magnetic moment**: 0.37 μB/cell

---

The following is a DFT calculation (GGA-PBEsol) of an optimized crystal structure of CoNiPb2. Values from VASP.

The structure in Quantum ESPRESSO input format:
```
&SYSTEM
  ibrav = 0, nat = 4, ntyp = 3
/
ATOMIC_SPECIES
Pb 207.20 Pb.upf
Ni 58.69 Ni.upf
Co 58.93 Co.upf
CELL_PARAMETERS angstrom
3.1325 0.0000 0.0000
0.0000 4.0908 0.0000
-1.5662 -2.0454 5.6842
ATOMIC_POSITIONS crystal
Pb 0.0237 0.0237 0.0475
Pb 0.7897 0.2897 0.5793
Ni 0.1820 0.6820 0.3640
Co 0.5046 0.5046 0.0092
```

Values from the calculation:
**ΔH_f (0 K)**: 405 meV/atom
**Distance to the lowest polymorph of the same formula**: 0.106 eV/atom
**Space group**: No. 44
**Total magnetic moment**: 0.18 μB/cell

---

The following is a DFT calculation (GGA-PBEsol) of an optimized crystal structure of CoNiPb2. Values from VASP.

The structure in Quantum ESPRESSO input format:
```
&SYSTEM
  ibrav = 0, nat = 4, ntyp = 3
/
ATOMIC_SPECIES
Pb 207.20 Pb.upf
Co 58.93 Co.upf
Ni 58.69 Ni.upf
CELL_PARAMETERS angstrom
-0.3261 -2.5936 1.7710
2.4883 -1.2997 -1.4452
4.6737 3.0401 5.3128
ATOMIC_POSITIONS crystal
Pb 0.0000 0.0000 0.9195
Pb 0.5000 0.5000 0.3286
Co 0.0000 0.0000 0.5590
Ni 0.5000 0.5000 0.6929
```

Values from the calculation:
**ΔH_f (0 K)**: 299 meV/atom
**Distance to the lowest polymorph of the same formula**: 0.000 eV/atom
**Space group**: No. 99
**Total magnetic moment**: 1.59 μB/cell

---

The following is a DFT calculation (GGA-PBEsol) of an optimized crystal structure of CoNiPb2. Values from VASP.

The structure in Quantum ESPRESSO input format:
```
&SYSTEM
  ibrav = 0, nat = 4, ntyp = 3
/
ATOMIC_SPECIES
Pb 207.20 Pb.upf
Co 58.93 Co.upf
Ni 58.69 Ni.upf
CELL_PARAMETERS angstrom
3.2087 0.0000 0.0000
0.0000 4.4034 0.0000
0.0000 0.0000 4.9265
ATOMIC_POSITIONS crystal
Pb 0.0000 0.5000 0.5000
Pb 0.0000 0.0000 0.0000
Co 0.5000 0.5000 0.0000
Ni 0.5000 0.0000 0.5000
```

Values from the calculation:
**ΔH_f (0 K)**: 464 meV/atom
**Distance to the lowest polymorph of the same formula**: 0.166 eV/atom
**Space group**: No. 47
**Total magnetic moment**: 0.93 μB/cell

---

The following is a DFT calculation (GGA-PBEsol) of an optimized crystal structure of ZnCoNiPb2. Values from VASP.

The structure in Quantum ESPRESSO input format:
```
&SYSTEM
  ibrav = 0, nat = 5, ntyp = 4
/
ATOMIC_SPECIES
Pb 207.20 Pb.upf
Zn 65.41 Zn.upf
Co 58.93 Co.upf
Ni 58.69 Ni.upf
CELL_PARAMETERS angstrom
-1.8087 3.4572 2.0795
-3.3139 0.4394 -3.6129
-3.0317 -3.0367 2.4115
ATOMIC_POSITIONS crystal
Pb 0.0000 0.0000 0.5000
Pb 0.0000 0.5000 0.0000
Zn 0.5000 0.5000 0.5000
Co 0.0000 0.0000 0.0000
Ni 0.5000 0.0000 0.0000
```

Values from the calculation:
**ΔH_f (0 K)**: 650 meV/atom
**Space group**: No. 123
**Total magnetic moment**: 1.58 μB/cell

---

The following is a DFT calculation (GGA-PBEsol) of an optimized crystal structure of Pm2CoNi. Values from VASP.

The structure in Quantum ESPRESSO input format:
```
&SYSTEM
  ibrav = 0, nat = 4, ntyp = 3
/
ATOMIC_SPECIES
Co 58.93 Co.upf
Pm 145.00 Pm.upf
Ni 58.69 Ni.upf
CELL_PARAMETERS angstrom
4.7805 0.0000 0.0000
2.3902 4.1400 0.0000
2.3902 1.3800 3.9032
ATOMIC_POSITIONS crystal
Co 0.5000 0.5000 0.5000
Pm 0.2500 0.2500 0.2500
Pm 0.7500 0.7500 0.7500
Ni 0.0000 0.0000 0.0000
```

Values from the calculation:
**ΔH_f (0 K)**: -102 meV/atom
**Space group**: No. 225
**Total magnetic moment**: 0.00 μB/cell

---

The following is a DFT calculation (GGA-PBEsol) of an optimized crystal structure of Pr2Co5Ni5. Values from VASP.

The structure in Quantum ESPRESSO input format:
```
&SYSTEM
  ibrav = 0, nat = 12, ntyp = 3
/
ATOMIC_SPECIES
Ni 58.69 Ni.upf
Co 58.93 Co.upf
Pr 140.91 Pr.upf
CELL_PARAMETERS angstrom
-2.5650 -1.5962 -2.4863
3.0568 -3.8127 -0.7058
-3.6516 -4.1140 6.4082
ATOMIC_POSITIONS crystal
Ni 0.5000 0.2499 0.7498
Ni 0.5000 0.2499 0.2502
Ni 0.5000 0.0000 0.0000
Ni 0.5000 0.7501 0.2502
Ni 0.5000 0.7501 0.7498
Co 0.0000 0.0000 0.1655
Co 0.0000 0.5000 0.3411
Co 0.5000 0.5000 0.5000
Co 0.0000 0.0000 0.8345
Co 0.0000 0.5000 0.6589
Pr 0.0000 0.0000 0.5000
Pr 0.0000 0.5000 0.0000
```

Values from the calculation:
**ΔH_f (0 K)**: -82 meV/atom
**Space group**: No. 47
**Total magnetic moment**: 8.61 μB/cell

---

The following is a DFT calculation (GGA-PBEsol) of an optimized crystal structure of CoNiPt2. Values from VASP.

The structure in Quantum ESPRESSO input format:
```
&SYSTEM
  ibrav = 0, nat = 4, ntyp = 3
/
ATOMIC_SPECIES
Co 58.93 Co.upf
Pt 195.08 Pt.upf
Ni 58.69 Ni.upf
CELL_PARAMETERS angstrom
-0.8297 -2.5211 -0.2610
3.1033 0.0534 3.2448
-3.7696 0.9819 2.4981
ATOMIC_POSITIONS crystal
Co 0.0000 0.0000 0.5000
Pt 0.7494 0.4987 0.7494
Pt 0.2506 0.5013 0.2506
Ni 0.5000 0.0000 0.0000
```

Values from the calculation:
**ΔH_f (0 K)**: -36 meV/atom
**Space group**: No. 12
**Total magnetic moment**: 3.14 μB/cell

---

The following is a DFT calculation (GGA-PBEsol) of an optimized crystal structure of CoNi2Pt. Values from VASP.

The structure in Quantum ESPRESSO input format:
```
&SYSTEM
  ibrav = 0, nat = 4, ntyp = 3
/
ATOMIC_SPECIES
Ni 58.69 Ni.upf
Pt 195.08 Pt.upf
Co 58.93 Co.upf
CELL_PARAMETERS angstrom
-0.0424 0.1007 -2.5948
0.1672 -2.5896 -0.1032
-6.9203 -0.4506 0.0957
ATOMIC_POSITIONS crystal
Ni 0.0000 0.0000 0.9973
Ni 0.5000 0.5000 0.2333
Pt 0.0000 0.0000 0.5021
Co 0.5000 0.5000 0.7673
```

Values from the calculation:
**ΔH_f (0 K)**: -8 meV/atom
**Space group**: No. 99
**Total magnetic moment**: 3.30 μB/cell

---

The following is a DFT calculation (GGA-PBEsol) of an optimized crystal structure of CoNiPt2. Values from VASP.

The structure in Quantum ESPRESSO input format:
```
&SYSTEM
  ibrav = 0, nat = 4, ntyp = 3
/
ATOMIC_SPECIES
Co 58.93 Co.upf
Pt 195.08 Pt.upf
Ni 58.69 Ni.upf
CELL_PARAMETERS angstrom
3.7686 0.0000 0.0000
0.0000 3.7686 0.0000
-1.8843 -1.8843 3.6268
ATOMIC_POSITIONS crystal
Co 0.5000 0.5000 0.0000
Pt 0.7500 0.2500 0.5000
Pt 0.2500 0.7500 0.5000
Ni 0.0000 0.0000 0.0000
```

Values from the calculation:
**ΔH_f (0 K)**: -84 meV/atom
**Space group**: No. 139
**Total magnetic moment**: 3.25 μB/cell

---

The following is a DFT calculation (GGA-PBEsol) of an optimized crystal structure of CoNiPt2. Values from VASP.

The structure in Quantum ESPRESSO input format:
```
&SYSTEM
  ibrav = 0, nat = 4, ntyp = 3
/
ATOMIC_SPECIES
Pt 195.08 Pt.upf
Co 58.93 Co.upf
Ni 58.69 Ni.upf
CELL_PARAMETERS angstrom
3.6032 0.0000 0.0000
0.0000 3.7816 0.0000
0.0000 0.0000 3.7816
ATOMIC_POSITIONS crystal
Pt 0.0000 0.0000 0.5000
Pt 0.0000 0.5000 0.0000
Co 0.5000 0.5000 0.5000
Ni 0.5000 0.0000 0.0000
```

Values from the calculation:
**ΔH_f (0 K)**: -73 meV/atom
**Space group**: No. 123
**Total magnetic moment**: 3.47 μB/cell

---

The following is a DFT calculation (GGA-PBEsol) of an optimized crystal structure of CoNi2Pt. Values from VASP.

The structure in Quantum ESPRESSO input format:
```
&SYSTEM
  ibrav = 0, nat = 4, ntyp = 3
/
ATOMIC_SPECIES
Co 58.93 Co.upf
Pt 195.08 Pt.upf
Ni 58.69 Ni.upf
CELL_PARAMETERS angstrom
-2.3396 -0.7909 0.7875
1.5797 -0.6641 4.0261
-0.0807 4.3971 -0.0899
ATOMIC_POSITIONS crystal
Co 0.7474 0.2395 0.4947
Pt 0.4993 0.4977 0.9986
Ni 0.2525 0.7632 0.5050
Ni 0.0008 0.9996 0.0016
```

Values from the calculation:
**ΔH_f (0 K)**: -33 meV/atom
**Space group**: No. 8
**Total magnetic moment**: 3.34 μB/cell

---

The following is a DFT calculation (GGA-PBEsol) of an optimized crystal structure of CoNiPt2. Values from VASP.

The structure in Quantum ESPRESSO input format:
```
&SYSTEM
  ibrav = 0, nat = 4, ntyp = 3
/
ATOMIC_SPECIES
Pt 195.08 Pt.upf
Co 58.93 Co.upf
Ni 58.69 Ni.upf
CELL_PARAMETERS angstrom
3.6893 0.0000 0.0000
0.0000 3.6893 0.0000
-1.8446 -1.8446 3.7931
ATOMIC_POSITIONS crystal
Pt 0.2500 0.7500 0.5000
Pt 0.5000 0.5000 0.0000
Co 0.0000 0.0000 0.0000
Ni 0.7500 0.2500 0.5000
```

Values from the calculation:
**ΔH_f (0 K)**: -53 meV/atom
**Space group**: No. 119
**Total magnetic moment**: 3.23 μB/cell

---

The following is a DFT calculation (GGA-PBEsol) of an optimized crystal structure of CoNiPt2. Values from VASP.

The structure in Quantum ESPRESSO input format:
```
&SYSTEM
  ibrav = 0, nat = 4, ntyp = 3
/
ATOMIC_SPECIES
Pt 195.08 Pt.upf
Co 58.93 Co.upf
Ni 58.69 Ni.upf
CELL_PARAMETERS angstrom
-2.0789 0.2614 1.6392
1.8981 -1.6712 2.6736
1.8588 4.6867 1.6099
ATOMIC_POSITIONS crystal
Pt 0.0000 0.0000 0.9808
Pt 0.5000 0.5000 0.2704
Co 0.0000 0.0000 0.5056
Ni 0.5000 0.5000 0.7432
```

Values from the calculation:
**ΔH_f (0 K)**: -41 meV/atom
**Space group**: No. 25
**Total magnetic moment**: 3.33 μB/cell